1.
# BaCCl2

BaCCl2 at its PBEsol-relaxed geometry (SCAN, the Alexandria database).

POSCAR file:
```
BaCCl2
1.0
-3.9816 1.8929 2.2080
-2.8332 -1.6791 -3.6694
2.2010 -7.8795 5.2189
Cl Ba C
4 2 2
direct
0.1250 0.1688 0.7500
0.6250 0.5812 0.7500
0.8312 0.3750 0.2500
0.4188 0.8750 0.2500
0.0000 0.0000 0.0000
0.2500 0.7500 0.5000
0.5000 0.5000 0.0000
0.7500 0.2500 0.5000
```

Values from the calculation:
The raw formation energy is -0.14 eV per atom. The calculation puts the total energy at -132.3 eV per cell. As for the magnetization: 0.500 μB per atom.

***

2.
# BaC3Cl

BaC3Cl at its PBEsol-relaxed geometry (SCAN, the Alexandria database).

POSCAR file:
```
BaC3Cl
1.0
-3.8619 -2.4077 2.3496
0.4851 -3.9383 -3.2384
3.3290 -2.2193 3.1976
C Cl Ba
3 1 1
direct
0.0000 0.0000 0.5000
0.0000 0.5000 0.0000
0.5000 0.0000 0.0000
0.5000 0.5000 0.5000
0.0000 0.0000 0.0000
```

Values from the calculation:
The raw formation energy is 3.46 eV per atom. The calculation puts the total energy at -60.5 eV per cell. The value obtained for the polymorph energy (0 for the lowest one) is 692 meV per atom. The density of states at the Fermi level comes out at 7.67 states/eV/f.u. As for the magnetization: 1.400 μB per atom.

***

3.
# BaH2CSNClO

BaH2CSNClO at its PBEsol-relaxed geometry (SCAN, the Alexandria database).

POSCAR file:
```
BaH2CSNClO
1.0
4.7400 0.0000 0.0000
0.0000 5.8340 0.0000
0.0000 0.0000 19.7447
N S H O Cl C Ba
4 4 8 4 4 4 4
direct
0.7500 0.9911 0.8711
0.2500 0.5089 0.3711
0.7500 0.4911 0.6289
0.2500 0.0089 0.1289
0.2500 0.5494 0.1725
0.7500 0.4506 0.8275
0.2500 0.0494 0.3275
0.7500 0.9506 0.6725
0.9144 0.6146 0.2549
0.0856 0.8854 0.7549
0.4144 0.8854 0.7549
0.5856 0.6146 0.2549
0.9144 0.1146 0.2451
0.0856 0.3854 0.7451
0.5856 0.1146 0.2451
0.4144 0.3854 0.7451
0.7500 0.6624 0.2822
0.2500 0.8376 0.7822
0.2500 0.3376 0.7178
0.7500 0.1624 0.2178
0.2500 0.7635 0.5224
0.7500 0.2365 0.4776
0.7500 0.7365 0.0224
0.2500 0.2635 0.9776
0.2500 0.8152 0.1471
0.2500 0.3152 0.3529
0.7500 0.1848 0.8529
0.7500 0.6848 0.6471
0.2500 0.7624 0.9164
0.2500 0.2624 0.5836
0.7500 0.2376 0.0836
0.7500 0.7376 0.4164
```

Values from the calculation:
The calculation puts the total energy at -396.8 eV per cell. The density of states at the Fermi level comes out at 0.00 states/eV/f.u. As for the magnetization: 0.000 μB per atom.

***

4.
# Ba3CCl4O3

Ba3CCl4O3 at its PBEsol-relaxed geometry (SCAN, the Alexandria database).

POSCAR file:
```
Ba3CCl4O3
1.0
8.3340 0.0000 0.0000
0.0000 9.4558 0.0000
0.0000 0.0000 12.4143
Cl Ba C O
16 12 4 12
direct
0.0500 0.7500 0.5142
0.8330 0.7500 0.2031
0.3069 0.0425 0.5826
0.9500 0.2500 0.4858
0.5500 0.7500 0.9858
0.1931 0.5425 0.0826
0.1931 0.9575 0.0826
0.1670 0.2500 0.7969
0.8069 0.4575 0.9174
0.6931 0.9575 0.4174
0.6931 0.5425 0.4174
0.8069 0.0425 0.9174
0.3069 0.4575 0.5826
0.3330 0.7500 0.2969
0.6670 0.2500 0.7031
0.4500 0.2500 0.0142
0.4549 0.0096 0.8185
0.5472 0.2500 0.4654
0.9549 0.4904 0.6815
0.4549 0.4904 0.8185
0.5451 0.5096 0.1815
0.9528 0.7500 0.9654
0.0472 0.2500 0.0346
0.4528 0.7500 0.5346
0.5451 0.9904 0.1815
0.9549 0.0096 0.6815
0.0451 0.5096 0.3185
0.0451 0.9904 0.3185
0.7256 0.7500 0.7086
0.7744 0.2500 0.2086
0.2256 0.7500 0.7914
0.2744 0.2500 0.2914
0.1601 0.6303 0.8173
0.3639 0.7500 0.7442
0.3399 0.1303 0.3173
0.8639 0.7500 0.7558
0.8399 0.3697 0.1827
0.8399 0.1303 0.1827
0.1601 0.8697 0.8173
0.6361 0.2500 0.2558
0.6601 0.6303 0.6827
0.6601 0.8697 0.6827
0.1361 0.2500 0.2442
0.3399 0.3697 0.3173
```

Values from the calculation:
The raw formation energy is -2.67 eV per atom. The calculation puts the total energy at -835.0 eV per cell. The density of states at the Fermi level comes out at 0.00 states/eV/f.u. As for the magnetization: 0.000 μB per atom.

***

5.
# BaC2SeCl

BaC2SeCl at its PBEsol-relaxed geometry (SCAN, the Alexandria database).

POSCAR file:
```
BaC2SeCl
1.0
-0.2111 -0.8338 -4.4915
-0.8000 -4.4200 0.8581
-4.8927 0.8979 0.0633
C Cl Ba Se
2 1 1 1
direct
0.0000 0.5000 0.0000
0.5000 0.0000 0.0000
0.0000 0.0000 0.0000
0.5000 0.5000 0.5000
0.0000 0.0000 0.5000
```

Values from the calculation:
The raw formation energy is 1.61 eV per atom. The calculation puts the total energy at -79.7 eV per cell. The density of states at the Fermi level comes out at 2.39 states/eV/f.u. As for the magnetization: 0.766 μB per atom.

***

6.
# BaCo2C

BaCo2C at its PBEsol-relaxed geometry (SCAN, the Alexandria database).

POSCAR file:
```
BaCo2C
1.0
5.5991 0.0546 0.0877
-2.1212 5.1820 -0.0877
-2.1212 -2.3644 4.6120
C Ba Co
2 2 4
direct
0.0000 0.5000 0.5000
0.5000 0.2500 0.7500
0.5000 0.7500 0.2500
0.0000 0.0000 0.0000
0.7769 0.4019 0.1250
0.7231 0.3750 0.5981
0.2231 0.3481 0.6250
0.2769 0.8750 0.6519
```

Values from the calculation:
The calculation puts the total energy at -164.8 eV per cell. The density of states at the Fermi level comes out at 1.69 states/eV/f.u. As for the magnetization: 0.000 μB per atom. As for the formation enthalpy at 0 K: 0.46 eV per atom.

***

7.
# Ba3CoC

Ba3CoC at its PBEsol-relaxed geometry (SCAN, the Alexandria database).

POSCAR file:
```
Ba3CoC
1.0
-4.9805 0.9494 -1.9376
-0.6261 -5.3004 -0.9876
-2.0648 -0.6827 4.9731
Ba Co C
3 1 1
direct
0.0000 0.0000 0.5000
0.5000 0.0000 0.0000
0.0000 0.5000 0.0000
0.0000 0.0000 0.0000
0.5000 0.5000 0.5000
```

Values from the calculation:
The calculation puts the total energy at -139.7 eV per cell. The density of states at the Fermi level comes out at 3.74 states/eV/f.u. As for the magnetization: 0.248 μB per atom. As for the formation enthalpy at 0 K: 1.27 eV per atom.

***

8.
# Ba2CoC2O6F2

Ba2CoC2O6F2 at its PBEsol-relaxed geometry (SCAN, the Alexandria database).

POSCAR file:
```
Ba2CoC2O6F2
1.0
6.5910 0.0000 0.0000
0.0000 8.9534 0.0000
0.0000 0.0000 11.4596
Ba C F O Co
8 8 8 24 4
direct
0.0086 0.6087 0.1755
0.9914 0.3913 0.8245
0.4914 0.6087 0.6755
0.9914 0.8913 0.6755
0.0086 0.1087 0.3245
0.5086 0.3913 0.3245
0.5086 0.8913 0.1755
0.4914 0.1087 0.8245
0.2500 0.2403 0.0864
0.2500 0.7403 0.4136
0.7500 0.2597 0.5864
0.7500 0.7597 0.9136
0.2500 0.2403 0.5864
0.7500 0.7597 0.4136
0.2500 0.7403 0.9136
0.7500 0.2597 0.0864
0.5974 0.4068 0.8435
0.4026 0.5932 0.1565
0.9026 0.9068 0.1565
0.0974 0.0932 0.8435
0.5974 0.9068 0.6565
0.4026 0.0932 0.3435
0.9026 0.4068 0.3435
0.0974 0.5932 0.6565
0.3117 0.3147 0.6749
0.7308 0.4061 0.0867
0.8117 0.1853 0.6749
0.8310 0.1972 0.9962
0.2308 0.5939 0.4133
0.2692 0.5939 0.9133
0.8117 0.6853 0.8251
0.2308 0.0939 0.0867
0.7692 0.9061 0.9133
0.3117 0.8147 0.8251
0.1883 0.8147 0.3251
0.7308 0.9061 0.4133
0.1690 0.3028 0.4962
0.6690 0.1972 0.4962
0.8310 0.6972 0.5038
0.3310 0.8028 0.5038
0.7692 0.4061 0.5867
0.6690 0.6972 0.0038
0.1690 0.8028 0.0038
0.3310 0.3028 0.9962
0.6883 0.6853 0.3251
0.1883 0.3147 0.1749
0.2692 0.0939 0.5867
0.6883 0.1853 0.1749
0.0000 0.5000 0.5000
0.5000 0.5000 0.0000
0.5000 0.0000 0.5000
0.0000 0.0000 0.0000
```

Values from the calculation:
The raw formation energy is -2.44 eV per atom. The calculation puts the total energy at -771.0 eV per cell. The density of states at the Fermi level comes out at 0.00 states/eV/f.u. As for the magnetization: 0.231 μB per atom.